VASP calculation (PBE) on a geometry-optimized Pr8Pt2Rh structure.

abc: 6.535 7.757 7.757
angles: 111.54 101.59 101.59
Positions (direct):
1 Pr 0.352 0.655 0.920
2 Pr 0.599 0.350 0.085
3 Pr 0.177 0.358 0.358
4 Pr 0.352 0.920 0.655
5 Pr 0.599 0.085 0.350
6 Pr 0.794 0.647 0.647
7 Pr 0.980 0.195 0.801
8 Pr 0.980 0.801 0.195
9 Pt 0.487 0.688 0.322
10 Pt 0.487 0.322 0.688
11 Rh 0.194 0.013 0.013

Calculated values
DOS(E_F)	1.11	states/eV per atom
space-group type	No. 8
calculated total energy	-5.6889	eV per atom
E_form	-474	kJ/mol of formula units



VASP calculation (PBE) on a geometry-optimized MnNbAs3 structure.

abc: 4.626 4.626 4.626
angles: 90.00 90.00 90.00
Each line ends with the local moment (μB).
Positions (direct):
1 As 0.000 0.500 0.000  -0.09
2 As 0.500 0.000 0.000  -0.09
3 As 0.000 0.000 0.500  -0.09
4 Nb 0.500 0.500 0.500  2.03
5 Mn 0.000 0.000 0.000  2.27

Calculated values
DOS(E_F)	0.70	states/eV per atom
space-group type	No. 221
calculated total energy	-6.0493	eV per atom
E_form	284	kJ/mol of formula units



VASP calculation (PBE) on a geometry-optimized ReIrOs2 structure.

abc: 4.745 4.745 4.743
angles: 80.49 80.49 33.50
Positions (direct):
1 Ir 0.250 0.250 0.253
2 Os 0.002 0.002 0.992
3 Os 0.749 0.749 0.753
4 Re 0.499 0.499 0.502

Calculated values
DOS(E_F)	0.80	states/eV per atom
space-group type	No. 8
calculated total energy	-10.9205	eV per atom
E_form	8	kJ/mol of formula units



VASP calculation (PBE) on a geometry-optimized Tb6Er2Tm3Pu structure.

abc: 6.101 6.101 11.616
angles: 95.03 95.03 120.00
Each line ends with the local moment (μB).
Positions (direct):
1 Tm 0.167 0.833 0.500  0.05
2 Tm 0.833 0.167 0.500  0.05
3 Tm 0.500 0.500 0.500  0.05
4 Er 0.667 0.333 0.000  -0.17
5 Er 0.333 0.667 0.000  -0.17
6 Pu 0.000 0.000 0.000  -5.60
7 Tb 0.917 0.587 0.751  -0.05
8 Tb 0.587 0.917 0.751  -0.05
9 Tb 0.413 0.083 0.249  -0.05
10 Tb 0.753 0.753 0.249  -0.04
11 Tb 0.247 0.247 0.751  -0.04
12 Tb 0.083 0.413 0.249  -0.05

Calculated values
DOS(E_F)	1.94	states/eV per atom
space-group type	No. 12
calculated total energy	-5.3449	eV per atom
E_form	50	kJ/mol of formula units



VASP calculation (PBE) on a geometry-optimized LaBiBr2 structure.

abc: 10.125 10.125 7.909
angles: 50.20 50.20 90.00
Each line ends with the local moment (μB).
Positions (direct):
1 Br 0.375 0.492 0.750  0.06
2 Br 0.875 0.758 0.750  0.06
3 Br 0.242 0.625 0.250  0.06
4 Br 0.508 0.125 0.250  0.06
5 La 0.250 0.750 0.500  0.06
6 La 0.500 0.500 0.000  0.06
7 Bi 0.750 0.250 0.500  1.02
8 Bi 0.000 0.000 0.000  1.02

Calculated values
DOS(E_F)	0.12	states/eV per atom
space-group type	No. 122
E_form (uncorrected)	-0.94	eV/atom
calculated total energy	-3.9799	eV per atom



VASP calculation (PBE) on a geometry-optimized InBIN2 structure.

abc: 4.329 4.329 6.204
angles: 90.00 90.00 90.00
Each line ends with the local moment (μB).
Positions (direct):
1 In 0.000 0.000 0.000  -0.03
2 B 0.500 0.500 0.500  -0.08
3 N 0.000 0.500 0.000  1.08
4 N 0.500 0.000 0.000  1.08
5 I 0.000 0.000 0.500  0.05

Calculated values
DOS(E_F)	0.46	states/eV per atom
space-group type	No. 123
E_form (uncorrected)	2.13	eV/atom
calculated total energy	-3.3924	eV per atom